DFT (PBE-GGA) results for a geometry-optimized LiHg2Ru structure.

a b c (Å): 3.5896 3.5896 5.7264
angles (deg): 90.00 90.00 90.00
With the nearest neighbours (Å) after each atom.
Sites, in units of the cell vectors:
Li  0.0000  0.0000  0.0000  5 Hg 2.58-2.84
Hg  0.0000  0.0000  0.4506  1 Li 2.58, 4 Ru 2.76
Hg  0.5000  0.5000  0.7780  2 Ru 2.76-2.97, 4 Li 2.84
Ru  0.5000  0.5000  0.2598  6 Hg 2.76-2.97, 4 Li 2.94

Values from the calculation:
- Total moment: 0.5 Bohr magnetons per cell
- DOS(E_F): 0.625 states/eV per atom
- DFT formation energy: 0.2666 eV/atom
- SG: P4mm
- Energy relative to the lowest polymorph listed for this composition: 208 meV per atom


DFT (PBE-GGA) results for a geometry-optimized PmAgI structure.

a b c (Å): 12.0423 12.0423 12.0423
angles (deg): 21.83 21.83 21.83
With the nearest neighbours (Å) after each atom.
Sites, in units of the cell vectors:
Pm  0.0548  0.0548  0.0548  6 Ag 3.24-3.29, 3 I 3.32
Pm  0.9452  0.9452  0.9452  6 Ag 3.24-3.29, 3 I 3.32
Ag  0.3345  0.3345  0.3345  3 Ag 2.63
Ag  0.6655  0.6655  0.6655  3 Ag 2.63
I  0.2213  0.2213  0.2213  3 Pm 3.32
I  0.7787  0.7787  0.7787  3 Pm 3.32

Values from the calculation:
- Total moment: 0.0 Bohr magnetons per cell
- Raw formation energy: -708 meV per atom
- DOS(E_F): 0.879 states/eV per atom
- SG: R-3m


DFT (PBE-GGA) results for a geometry-optimized NaRe2TeCl structure.

a b c (Å): 4.4316 4.4316 5.0245
angles (deg): 90.00 90.00 90.00
With the nearest neighbours (Å) after each atom.
Sites, in units of the cell vectors:
Na  0.0000  0.0000  0.0000  2 Cl 2.51
Re  0.0000  0.5000  0.5000  2 Cl 2.22
Re  0.5000  0.0000  0.5000  2 Cl 2.22
Te  0.5000  0.5000  0.0000  4 Na 3.13, 8 Re 3.35
Cl  0.0000  0.0000  0.5000  4 Re 2.22

Values from the calculation:
- Total moment: 0.0 Bohr magnetons per cell
- Raw formation energy: 1266 meV per atom
- DOS(E_F): 0.767 states/eV per atom
- SG: P4/mmm
- Energy relative to the lowest polymorph listed for this composition: 0 meV per atom


DFT (PBE-GGA) results for a geometry-optimized NbAlCrRe structure.

a b c (Å): 4.4255 4.4255 4.4255
angles (deg): 60.00 60.00 60.00
With the nearest neighbours (Å) after each atom.
Sites, in units of the cell vectors:
Nb  0.0000  0.0000  0.0000  4 Re 2.71, 4 Cr 2.71
Al  0.5000  0.5000  0.5000  4 Re 2.71, 4 Cr 2.71
Cr  0.2500  0.2500  0.2500  4 Al 2.71, 4 Nb 2.71
Re  0.7500  0.7500  0.7500  4 Nb 2.71, 4 Al 2.71

Values from the calculation:
- Total moment: 3.0 Bohr magnetons per cell
- DOS(E_F): 0.195 states/eV per atom
- DFT formation energy: -0.1758 eV/atom
- SG: F-43m


DFT (PBE-GGA) results for a geometry-optimized ZnCu2Ni structure.

a b c (Å): 2.9626 2.9626 5.5312
angles (deg): 90.00 90.00 90.00
With the nearest neighbours (Å) after each atom.
Sites, in units of the cell vectors:
Zn  0.0000  0.0000  0.0000  8 Cu 2.54, 2 Ni 2.77
Cu  0.5000  0.5000  0.2603  4 Ni 2.48, 4 Zn 2.54, 1 Cu 2.65
Cu  0.5000  0.5000  0.7397  4 Ni 2.48, 4 Zn 2.54, 1 Cu 2.65
Ni  0.0000  0.0000  0.5000  8 Cu 2.48, 2 Zn 2.77

Values from the calculation:
- Total moment: 0.0 Bohr magnetons per cell
- DOS(E_F): 0.421 states/eV per atom
- DFT formation energy: -0.0210 eV/atom
- SG: P4/mmm


DFT (PBE-GGA) results for a geometry-optimized ErTm2Sc9 structure.

a b c (Å): 10.2111 10.2111 10.2111
angles (deg): 35.94 35.94 35.94
With the nearest neighbours (Å) after each atom.
Sites, in units of the cell vectors:
Er  0.0000  0.0000  0.0000  18 Sc 3.64-4.01, 2 Tm 3.95
Tm  0.1379  0.1379  0.1379  12 Sc 3.48-3.73
Tm  0.8621  0.8621  0.8621  12 Sc 3.48-3.73
Sc  0.0753  0.5924  0.5924  7 Sc 2.96-3.26
Sc  0.3346  0.3346  0.3346  6 Sc 3.07-3.08
Sc  0.4076  0.4076  0.9247  7 Sc 2.96-3.26
Sc  0.4076  0.9247  0.4076  7 Sc 2.96-3.26
Sc  0.5000  0.5000  0.5000  6 Sc 2.96
Sc  0.5924  0.0753  0.5924  7 Sc 2.96-3.26
Sc  0.5924  0.5924  0.0753  7 Sc 2.96-3.26
Sc  0.6654  0.6654  0.6654  6 Sc 3.07-3.08
Sc  0.9247  0.4076  0.4076  7 Sc 2.96-3.26

Values from the calculation:
- Total moment: 0.4 Bohr magnetons per cell
- DOS(E_F): 2.184 states/eV per atom
- DFT formation energy: 0.2593 eV/atom
- SG: R-3m
- Energy relative to the lowest polymorph listed for this composition: 206 meV per atom


DFT (PBE-GGA) results for a geometry-optimized Na5HgBi2 structure.

a b c (Å): 5.4906 5.4906 20.1984
angles (deg): 90.00 90.00 120.00
With the nearest neighbours (Å) after each atom.
Sites, in units of the cell vectors:
Na  0.0000  0.0000  0.1440  3 Bi 3.25, 3 Na 3.63
Na  0.0000  0.0000  0.3560  3 Bi 3.25, 3 Na 3.63
Na  0.0000  0.0000  0.6440  3 Bi 3.25, 3 Na 3.63
Na  0.0000  0.0000  0.8560  3 Bi 3.25, 3 Na 3.63
Na  0.3333  0.6667  0.0562  4 Bi 3.32-3.34, 3 Na 3.63
Na  0.3333  0.6667  0.2500  3 Hg 3.17
Na  0.3333  0.6667  0.4438  4 Bi 3.32-3.34, 3 Na 3.63
Na  0.6667  0.3333  0.5562  4 Bi 3.32-3.34, 3 Na 3.63
Na  0.6667  0.3333  0.7500  3 Hg 3.17
Na  0.6667  0.3333  0.9438  4 Bi 3.32-3.34, 3 Na 3.63
Hg  0.3333  0.6667  0.7500  2 Bi 2.86, 3 Na 3.17
Hg  0.6667  0.3333  0.2500  2 Bi 2.86, 3 Na 3.17
Bi  0.3333  0.6667  0.6082  1 Hg 2.86
Bi  0.3333  0.6667  0.8918  1 Hg 2.86
Bi  0.6667  0.3333  0.1082  1 Hg 2.86
Bi  0.6667  0.3333  0.3918  1 Hg 2.86

Values from the calculation:
- Total moment: 0.0 Bohr magnetons per cell
- DOS(E_F): 0.377 states/eV per atom
- DFT formation energy: -0.2669 eV/atom
- SG: P6_3/mmc


DFT (PBE-GGA) results for a geometry-optimized HfBe2Zn2 structure.

a b c (Å): 5.2997 5.2997 5.2997
angles (deg): 137.62 137.62 61.49
With the nearest neighbours (Å) after each atom.
Sites, in units of the cell vectors:
Hf  0.0000  0.0000  0.0000  8 Zn 2.95, 8 Be 2.98
Be  0.2500  0.7500  0.5000  4 Zn 2.21
Be  0.7500  0.2500  0.5000  4 Zn 2.21
Zn  0.3717  0.3717  0.0000  4 Be 2.21, 1 Zn 2.34
Zn  0.6283  0.6283  0.0000  4 Be 2.21, 1 Zn 2.34

Values from the calculation:
- Total moment: 0.0 Bohr magnetons per cell
- DOS(E_F): 0.416 states/eV per atom
- DFT formation energy: -0.0423 eV/atom
- SG: I4/mmm
- Energy relative to the lowest polymorph listed for this composition: 0 meV per atom


DFT (PBE-GGA) results for a geometry-optimized Na2SrAsSe4 structure.

a b c (Å): 8.4534 8.4534 8.4534
angles (deg): 125.07 115.34 89.85
With the nearest neighbours (Å) after each atom.
Sites, in units of the cell vectors:
Na  0.0000  0.0000  0.0000  6 Se 2.94-2.96
Na  0.5000  0.0000  0.0000  6 Se 3.21-3.25
Na  0.5000  0.0000  0.5000  6 Se 2.94-2.96
Na  0.5000  0.5000  0.5000  6 Se 3.21-3.25
Sr  0.0000  0.5000  0.5000  6 Se 3.04-3.07
Sr  0.5000  0.5000  0.0000  6 Se 3.04-3.07
As  0.0000  0.0000  0.5000  6 Se 2.74-2.78
As  0.0000  0.5000  0.0000  6 Se 2.74-2.78
Se  0.2078  0.2454  0.9624  2 As 2.74, 1 Na 2.96
Se  0.2170  0.7546  0.4624  2 As 2.74, 1 Na 2.96
Se  0.2322  0.2225  0.4902  1 As 2.78, 2 Na 2.94, 2 Sr 3.04
Se  0.2322  0.7420  0.0098  1 As 2.78, 2 Na 2.94, 2 Sr 3.04
Se  0.7678  0.2580  0.9902  1 As 2.78, 2 Na 2.94, 2 Sr 3.04
Se  0.7678  0.7775  0.5098  1 As 2.78, 2 Na 2.94, 2 Sr 3.04
Se  0.7830  0.2454  0.5376  2 As 2.74, 1 Na 2.96
Se  0.7922  0.7546  0.0376  2 As 2.74, 1 Na 2.96

Values from the calculation:
- Total moment: 0.0 Bohr magnetons per cell
- Raw formation energy: -852 meV per atom
- DOS(E_F): 0.917 states/eV per atom
- SG: Imma


DFT (PBE-GGA) results for a geometry-optimized K3NaMg2Cl8 structure.

a b c (Å): 7.4113 7.4113 9.0151
angles (deg): 90.00 90.00 120.00
With the nearest neighbours (Å) after each atom.
Sites, in units of the cell vectors:
K  0.0000  0.0000  0.0000  6 Cl 3.53
K  0.3333  0.6667  0.6111  1 Cl 2.99
K  0.6667  0.3333  0.3889  1 Cl 2.99
Na  0.0000  0.0000  0.5000  6 Cl 2.76
Mg  0.3333  0.6667  0.1972  4 Cl 2.29-2.35
Mg  0.6667  0.3333  0.8028  4 Cl 2.29-2.35
Cl  0.1680  0.3361  0.3099  1 Mg 2.35
Cl  0.1680  0.8320  0.3099  1 Mg 2.35
Cl  0.3333  0.6667  0.9430  1 Mg 2.29
Cl  0.3361  0.1680  0.6901  1 Mg 2.35
Cl  0.6639  0.8320  0.3099  1 Mg 2.35
Cl  0.6667  0.3333  0.0570  1 Mg 2.29
Cl  0.8320  0.1680  0.6901  1 Mg 2.35
Cl  0.8320  0.6639  0.6901  1 Mg 2.35

Values from the calculation:
- Total moment: 0.0 Bohr magnetons per cell
- Raw formation energy: -1859 meV per atom
- DOS(E_F): 0.000 states/eV per atom
- SG: P-3m1


DFT (PBE-GGA) results for a geometry-optimized Sc2AuBr structure.

a b c (Å): 8.0955 8.0955 8.0955
angles (deg): 30.43 30.43 30.43
With the nearest neighbours (Å) after each atom.
Sites, in units of the cell vectors:
Sc  0.1139  0.1139  0.1139  1 Br 2.64, 3 Au 2.74
Sc  0.8861  0.8861  0.8861  1 Br 2.64, 3 Au 2.74
Au  0.5000  0.5000  0.5000  6 Sc 2.74
Br  0.0000  0.0000  0.0000  2 Sc 2.64

Values from the calculation:
- Total moment: 0.0 Bohr magnetons per cell
- Raw formation energy: -741 meV per atom
- DOS(E_F): 1.802 states/eV per atom
- SG: R-3m
- Energy relative to the lowest polymorph listed for this composition: 52 meV per atom


DFT (PBE-GGA) results for a geometry-optimized CaInSi2 structure.

a b c (Å): 5.5918 5.5918 5.5918
angles (deg): 135.93 135.93 64.08
With the nearest neighbours (Å) after each atom.
Sites, in units of the cell vectors:
Ca  0.0000  0.0000  0.0000  8 Si 2.97-3.17, 4 In 3.17
In  0.2500  0.7500  0.5000  8 Si 2.97-3.17, 4 Ca 3.17
Si  0.5000  0.5000  0.0000  4 Ca 2.97, 4 In 3.17, 4 Si 3.17
Si  0.7500  0.2500  0.5000  4 In 2.97, 4 Si 3.17, 4 Ca 3.17

Values from the calculation:
- Total moment: 0.0 Bohr magnetons per cell
- Raw formation energy: 42 meV per atom
- DOS(E_F): 0.579 states/eV per atom
- SG: I-4m2


no.,calculated total energy (eV per atom)
1,-2.682
2,-3.759
3,-4.974
4,-9.147
5,-3.833
6,-5.615
7,-2.099
8,-4.033
9,-3.715
10,-3.472
11,-5.144
12,-3.854